1.
A relaxed GdZrPdRu crystal, computed with PBE.

Values from the calculation:
Theoretical density   9.7 Mg/m³
Energy of formation   -0.53 eV/atom
Space group   F-43m
Final energy   -9.809 eV per atom

```
4
Lattice="0.000 3.396 3.396 3.396 0.000 3.396 3.396 3.396 0.000" Properties=species:S:1:pos:R:3 pbc="T T T"
Gd 0.000 0.000 0.000
Zr 3.396 3.396 3.396
Pd 5.094 5.094 5.094
Ru 1.698 1.698 1.698
```

=====

2.
A relaxed GdPdS2 crystal, computed with PBE.

Values from the calculation:
Theoretical density   5.9 Mg/m³
Space group   R-3m
Final energy   -7.266 eV per atom

```
4
Lattice="1.850 1.068 7.837 -1.850 1.068 7.837 0.000 -2.136 7.837" Properties=species:S:1:pos:R:3 pbc="T T T"
Gd 0.000 0.000 0.000
Pd 0.000 0.000 11.756
S 0.000 0.000 2.679
S 0.000 0.000 20.833
```

=====

3.
A relaxed Gd2PdS crystal, computed with PBE.

Values from the calculation:
Theoretical density   7.5 Mg/m³
Space group   R-3m
Final energy   -10.165 eV per atom

```
4
Lattice="1.823 1.052 8.756 -1.823 1.052 8.756 0.000 -2.105 8.756" Properties=species:S:1:pos:R:3 pbc="T T T"
Gd 0.000 0.000 2.652
Gd 0.000 0.000 23.615
Pd 0.000 0.000 0.000
S 0.000 0.000 13.133
```

=====

4.
A relaxed Gd2SbPd crystal, computed with PBE.

Values from the calculation:
Theoretical density   9.1 Mg/m³
Offset from the most stable computed form   0.0178 eV per atom
Space group   Fm-3m
Final energy   -10.210 eV per atom

```
4
Lattice="0.000 3.669 3.669 3.669 0.000 3.669 3.669 3.669 0.000" Properties=species:S:1:pos:R:3 pbc="T T T"
Gd 1.834 1.834 1.834
Gd 5.503 5.503 5.503
Sb 0.000 0.000 0.000
Pd 3.669 3.669 3.669
```

=====

5.
A relaxed GdSb2Pd crystal, computed with PBE.

Values from the calculation:
Theoretical density   9.1 Mg/m³
Space group   P4/mmm
Final energy   -7.532 eV per atom

```
4
Lattice="4.735 0.000 0.000 0.000 4.735 0.000 0.000 0.000 4.126" Properties=species:S:1:pos:R:3 pbc="T T T"
Gd 0.000 0.000 0.000
Sb 0.000 2.368 2.063
Sb 2.368 0.000 2.063
Pd 2.368 2.368 0.000
```

=====

6.
A relaxed GdSb2Pd crystal, computed with PBE.

Values from the calculation:
Theoretical density   8.0 Mg/m³
Space group   R-3m
Final energy   -7.040 eV per atom

```
4
Lattice="1.736 1.002 10.058 -1.736 1.002 10.058 0.000 -2.005 10.058" Properties=species:S:1:pos:R:3 pbc="T T T"
Gd 0.000 0.000 0.000
Sb 0.000 0.000 3.113
Sb 0.000 0.000 27.063
Pd 0.000 0.000 15.088
```

=====

7.
A relaxed Gd2SbPd crystal, computed with PBE.

Values from the calculation:
Theoretical density   9.1 Mg/m³
Offset from the most stable computed form   0.0000 eV per atom
Space group   P4/mmm
Final energy   -10.228 eV per atom

```
4
Lattice="5.035 0.000 0.000 0.000 5.035 0.000 0.000 0.000 3.897" Properties=species:S:1:pos:R:3 pbc="T T T"
Gd 0.000 2.517 0.000
Gd 2.517 0.000 0.000
Sb 0.000 0.000 1.949
Pd 2.517 2.517 1.949
```

=====

8.
A relaxed GdSc2Pd crystal, computed with PBE.

Values from the calculation:
Theoretical density   6.3 Mg/m³
Offset from the most stable computed form   0.0000 eV per atom
Energy of formation   -0.40 eV/atom
Space group   P4/mmm
Final energy   -8.387 eV per atom

```
4
Lattice="3.387 0.000 0.000 0.000 3.387 0.000 0.000 0.000 8.088" Properties=species:S:1:pos:R:3 pbc="T T T"
Gd 0.000 0.000 0.000
Sc 1.694 1.694 2.469
Sc 1.694 1.694 5.619
Pd 0.000 0.000 4.044
```

=====

9.
A relaxed GdSc2Pd crystal, computed with PBE.

Values from the calculation:
Theoretical density   6.8 Mg/m³
Offset from the most stable computed form   0.2297 eV per atom
Energy of formation   -0.17 eV/atom
Space group   Fm-3m
Final energy   -8.157 eV per atom

```
4
Lattice="0.000 3.515 3.515 3.515 0.000 3.515 3.515 3.515 0.000" Properties=species:S:1:pos:R:3 pbc="T T T"
Gd 0.000 0.000 0.000
Sc 1.757 1.757 1.757
Sc 5.272 5.272 5.272
Pd 3.515 3.515 3.515
```

=====

10.
A relaxed Gd2ScPd crystal, computed with PBE.

Values from the calculation:
Theoretical density   7.2 Mg/m³
Offset from the most stable computed form   0.1401 eV per atom
Energy of formation   -0.23 eV/atom
Space group   R-3m
Final energy   -10.151 eV per atom

```
4
Lattice="1.797 1.038 9.546 -1.797 1.038 9.546 0.000 -2.075 9.546" Properties=species:S:1:pos:R:3 pbc="T T T"
Gd 0.000 0.000 6.801
Gd 0.000 0.000 21.837
Sc 0.000 0.000 0.000
Pd 0.000 0.000 14.319
```

=====

11.
A relaxed Gd2ScPd crystal, computed with PBE.

Values from the calculation:
Theoretical density   7.9 Mg/m³
Offset from the most stable computed form   0.0871 eV per atom
Energy of formation   -0.28 eV/atom
Space group   P4/mmm
Final energy   -10.204 eV per atom

```
4
Lattice="5.159 0.000 0.000 0.000 5.159 0.000 0.000 0.000 3.681" Properties=species:S:1:pos:R:3 pbc="T T T"
Gd 0.000 2.579 0.000
Gd 2.579 0.000 0.000
Sc 0.000 0.000 1.841
Pd 2.579 2.579 1.841
```

=====

12.
A relaxed Gd2ScPd crystal, computed with PBE.

Values from the calculation:
Theoretical density   7.7 Mg/m³
Offset from the most stable computed form   0.0000 eV per atom
Energy of formation   -0.37 eV/atom
Space group   P4/mmm
Final energy   -10.291 eV per atom

```
4
Lattice="3.645 0.000 0.000 0.000 3.645 0.000 0.000 0.000 7.612" Properties=species:S:1:pos:R:3 pbc="T T T"
Gd 0.000 0.000 1.671
Gd 0.000 0.000 5.941
Sc 1.822 1.822 3.806
Pd 1.822 1.822 0.000
```

=====

13.
A relaxed GdScSiPd crystal, computed with PBE.

Values from the calculation:
Theoretical density   6.9 Mg/m³
Space group   F-43m
Final energy   -8.458 eV per atom

```
4
Lattice="0.000 3.436 3.436 3.436 0.000 3.436 3.436 3.436 0.000" Properties=species:S:1:pos:R:3 pbc="T T T"
Gd 0.000 0.000 0.000
Sc 3.436 3.436 3.436
Si 1.718 1.718 1.718
Pd 5.154 5.154 5.154
```

=====

14.
A relaxed SmGdScPd crystal, computed with PBE.

Values from the calculation:
Theoretical density   7.6 Mg/m³
Energy of formation   -0.16 eV/atom
Space group   F-43m
Final energy   -7.737 eV per atom

```
4
Lattice="0.000 3.686 3.686 3.686 0.000 3.686 3.686 3.686 0.000" Properties=species:S:1:pos:R:3 pbc="T T T"
Sm 0.000 0.000 0.000
Gd 3.686 3.686 3.686
Sc 1.843 1.843 1.843
Pd 5.529 5.529 5.529
```

=====

15.
A relaxed GdScSnPd crystal, computed with PBE.

Values from the calculation:
Theoretical density   7.8 Mg/m³
Energy of formation   -0.71 eV/atom
Space group   F-43m
Final energy   -8.110 eV per atom

```
4
Lattice="0.000 3.566 3.566 3.566 0.000 3.566 3.566 3.566 0.000" Properties=species:S:1:pos:R:3 pbc="T T T"
Gd 0.000 0.000 0.000
Sc 3.566 3.566 3.566
Sn 5.350 5.350 5.350
Pd 1.783 1.783 1.783
```

=====

16.
A relaxed TbGdScPd crystal, computed with PBE.

Values from the calculation:
Theoretical density   7.9 Mg/m³
Energy of formation   -0.18 eV/atom
Space group   F-43m
Final energy   -7.735 eV per atom

```
4
Lattice="0.000 3.661 3.661 3.661 0.000 3.661 3.661 3.661 0.000" Properties=species:S:1:pos:R:3 pbc="T T T"
Tb 0.000 0.000 0.000
Gd 3.661 3.661 3.661
Sc 1.831 1.831 1.831
Pd 5.492 5.492 5.492
```

=====

17.
A relaxed GdScTcPd crystal, computed with PBE.

Values from the calculation:
Theoretical density   8.8 Mg/m³
Energy of formation   -0.39 eV/atom
Space group   F-43m
Final energy   -9.385 eV per atom

```
4
Lattice="0.000 3.372 3.372 3.372 0.000 3.372 3.372 3.372 0.000" Properties=species:S:1:pos:R:3 pbc="T T T"
Gd 0.000 0.000 0.000
Sc 3.372 3.372 3.372
Tc 5.058 5.058 5.058
Pd 1.686 1.686 1.686
```

=====

18.
A relaxed GdScTlPd crystal, computed with PBE.

Values from the calculation:
Theoretical density   9.2 Mg/m³
Energy of formation   -0.50 eV/atom
Space group   F-43m
Final energy   -7.493 eV per atom

```
4
Lattice="0.000 3.586 3.586 3.586 0.000 3.586 3.586 3.586 0.000" Properties=species:S:1:pos:R:3 pbc="T T T"
Gd 0.000 0.000 0.000
Sc 3.586 3.586 3.586
Tl 5.380 5.380 5.380
Pd 1.793 1.793 1.793
```

=====

19.
A relaxed GdTmScPd crystal, computed with PBE.

Values from the calculation:
Theoretical density   8.3 Mg/m³
Energy of formation   -0.19 eV/atom
Space group   F-43m
Final energy   -7.713 eV per atom

```
4
Lattice="0.000 3.635 3.635 3.635 0.000 3.635 3.635 3.635 0.000" Properties=species:S:1:pos:R:3 pbc="T T T"
Gd 0.000 0.000 0.000
Tm 3.635 3.635 3.635
Sc 1.817 1.817 1.817
Pd 5.452 5.452 5.452
```

=====

20.
A relaxed GdYScPd crystal, computed with PBE.

Values from the calculation:
Theoretical density   6.7 Mg/m³
Energy of formation   -0.18 eV/atom
Space group   F-43m
Final energy   -8.194 eV per atom

```
4
Lattice="0.000 3.662 3.662 3.662 0.000 3.662 3.662 3.662 0.000" Properties=species:S:1:pos:R:3 pbc="T T T"
Gd 0.000 0.000 0.000
Y 3.662 3.662 3.662
Sc 5.493 5.493 5.493
Pd 1.831 1.831 1.831
```